#a
VASP calculation (PBE-GGA) on a geometry-optimized KCrCu2 structure.

Computed properties:
* density: 4.5 g/cm³
* size of the total moment: 3.72 μB/f.u.

Cell: 3.246 3.246 7.581 Å, 90.00 90.00 90.00°
Space group P4/mmm (No. 123)
One atom of each set of equivalent atoms:
K1 0.000 0.000 0.000 (multiplicity 1)
Cr1 0.000 0.000 0.500 (multiplicity 1)
Cu1 0.500 0.500 0.335 (multiplicity 2)

---

#b
VASP calculation (PBE-GGA) on a geometry-optimized KCrCu2 structure.

Computed properties:
* density: 4.9 g/cm³
* size of the total moment: 3.79 μB/f.u.

Cell: 3.0000 3.0000 28.5900 Å, 90.00 90.00 120.00°
Space group R-3m (No. 166, hexagonal axes)
One atom of each set of equivalent atoms:
K1 0.0000 0.0000 0.0000 (multiplicity 3)
Cr1 0.0000 0.0000 0.5000 (multiplicity 3)
Cu1 0.0000 0.0000 0.2352 (multiplicity 6)

---

Stability check: which of them is most stable? #a.

---

#a
VASP calculation (PBE-GGA) on a geometry-optimized KCrCu structure.

Computed properties:
* density: 3.4 g/cm³
* size of the total moment: 4.41 μB/f.u.

Cell: 4.401 12.333 5.520 Å, 90.00 90.00 90.00°
Space group Cmcm (No. 63)
One atom of each set of equivalent atoms:
K1 0.000 0.234 0.250 (multiplicity 4)
Cr1 0.000 0.030 0.750 (multiplicity 4)
Cu1 0.000 0.500 0.000 (multiplicity 4)

---

#b
VASP calculation (PBE-GGA) on a geometry-optimized KCrCu structure.

Computed properties:
* density: 3.6 g/cm³
* size of the total moment: 0.00 μB/f.u.

Cell: 8.802 2.913 11.057 Å, 90.00 90.00 90.00°
Space group Pnma (No. 62)
One atom of each set of equivalent atoms:
K1 0.081 0.250 0.174 (multiplicity 4)
Cr1 0.068 0.250 0.537 (multiplicity 4)
Cu1 0.239 0.750 0.414 (multiplicity 4)

---

#c
VASP calculation (PBE-GGA) on a geometry-optimized KCrCu structure.

Computed properties:
* density: 3.1 g/cm³
* size of the total moment: 4.75 μB/f.u.

Cell: 4.4400 4.4400 4.9263 Å, 90.00 90.00 120.00°
Space group P-6m2 (No. 187)
One atom of each set of equivalent atoms:
K1 0.0000 0.0000 0.0000 (multiplicity 1)
Cr1 0.6667 0.3333 0.5000 (multiplicity 1)
Cu1 0.3333 0.6667 0.5000 (multiplicity 1)

---

Stability check: which of them is most stable? #a.